1.
Compound: RbNpCuI6
Source: the Alexandria database
Functional: PBE
Structure: relaxed

Unit cell a=7.615 b=7.615 c=16.791 alpha=90.00 beta=90.00 gamma=120.00
Atoms (fractional coordinates):
Rb  0.000  0.000  0.000
Rb  0.000  0.000  0.500
Np  0.333  0.667  0.250
Np  0.667  0.333  0.750
Cu  0.333  0.667  0.750
Cu  0.667  0.333  0.250
I  0.013  0.370  0.649
I  0.013  0.643  0.851
I  0.357  0.370  0.851
I  0.357  0.987  0.649
I  0.370  0.013  0.149
I  0.370  0.357  0.351
I  0.630  0.643  0.649
I  0.630  0.987  0.851
I  0.643  0.013  0.351
I  0.643  0.630  0.149
I  0.987  0.357  0.149
I  0.987  0.630  0.351

Output
Formation energy from raw total energies   -0.746 eV per atom

---

2.
Compound: CdRuRh2W
Source: the Alexandria database
Functional: PBE
Structure: relaxed

Unit cell a=4.764 b=4.764 c=4.615 alpha=90.00 beta=90.00 gamma=90.00
Atoms (fractional coordinates):
Cd  0.000  0.000  0.000
Ru  0.500  0.500  0.500
Rh  0.000  0.500  0.500
Rh  0.500  0.000  0.500
W  0.500  0.500  0.000

Output
DFT formation energy   1.4247 eV/atom

---

3.
Compound: Tl2Cd2C
Source: the Alexandria database
Functional: PBE
Structure: relaxed

Unit cell a=8.171 b=8.171 c=8.171 alpha=149.57 beta=149.57 gamma=43.58
Atoms (fractional coordinates):
Tl  0.250  0.750  0.500
Tl  0.750  0.250  0.500
Cd  0.089  0.089  0.000
Cd  0.911  0.911  0.000
C  0.500  0.500  0.000

Output
DFT formation energy   1.4339 eV/atom
ΔE to the lowest computed polymorph   620 meV/atom

---

4.
Compound: HoEr2ScS6
Source: the Alexandria database
Functional: PBE
Structure: relaxed

Unit cell a=7.212 b=7.212 c=7.212 alpha=55.90 beta=55.90 gamma=55.90
Atoms (fractional coordinates):
Ho  0.000  0.000  0.000
Er  0.298  0.298  0.298
Er  0.801  0.801  0.801
Sc  0.496  0.496  0.496
S  0.107  0.700  0.399
S  0.218  0.600  0.882
S  0.399  0.107  0.700
S  0.600  0.882  0.218
S  0.700  0.399  0.107
S  0.882  0.218  0.600

Output
Formation energy from raw total energies   -2.010 eV per atom

---

5.
Compound: BiAuSeBr2
Source: the Alexandria database
Functional: PBE
Structure: relaxed

Unit cell a=5.183 b=5.183 c=5.288 alpha=90.00 beta=90.00 gamma=90.00
Atoms (fractional coordinates):
Bi  0.000  0.000  0.000
Au  0.500  0.500  0.500
Se  0.500  0.500  0.000
Br  0.000  0.500  0.500
Br  0.500  0.000  0.500

Output
Formation energy from raw total energies   0.204 eV per atom
ΔE to the lowest computed polymorph   0 meV/atom

---

6.
Compound: SiPtBr
Source: the Alexandria database
Functional: PBE
Structure: relaxed

Unit cell a=6.644 b=6.644 c=6.644 alpha=155.34 beta=146.20 gamma=42.29
Atoms (fractional coordinates):
Si  0.000  0.000  0.000
Pt  0.459  0.459  0.000
Br  0.192  0.192  0.000

Output
Formation energy from raw total energies   -0.296 eV per atom
ΔE to the lowest computed polymorph   118 meV/atom

---

7.
Compound: CsBaSn2Ge
Source: the Alexandria database
Functional: PBE
Structure: relaxed

Unit cell a=6.183 b=6.183 c=5.857 alpha=90.00 beta=90.00 gamma=90.00
Atoms (fractional coordinates):
Cs  0.000  0.000  0.000
Ba  0.500  0.500  0.500
Sn  0.000  0.500  0.000
Sn  0.500  0.000  0.000
Ge  0.000  0.000  0.500

Output
DFT formation energy   0.8307 eV/atom

---

8.
Compound: Pr2TlAs
Source: the Alexandria database
Functional: PBE
Structure: relaxed

Unit cell a=3.931 b=3.931 c=7.165 alpha=90.00 beta=90.00 gamma=90.00
Atoms (fractional coordinates):
Pr  0.000  0.000  0.229
Pr  0.000  0.000  0.771
Tl  0.500  0.500  0.500
As  0.500  0.500  0.000

Output
DFT formation energy   -0.7483 eV/atom
ΔE to the lowest computed polymorph   153 meV/atom

---

9.
Compound: Cs2NaMgBr5
Source: the Alexandria database
Functional: PBE
Structure: relaxed

Unit cell a=10.757 b=10.757 c=15.054 alpha=90.00 beta=90.00 gamma=156.42
Atoms (fractional coordinates):
Cs  0.111  0.889  0.500
Cs  0.137  0.863  0.119
Cs  0.863  0.137  0.619
Cs  0.889  0.111  0.000
Na  0.434  0.566  0.264
Na  0.566  0.434  0.764
Mg  0.214  0.786  0.839
Mg  0.786  0.214  0.339
Br  0.089  0.911  0.873
Br  0.277  0.723  0.458
Br  0.302  0.698  0.214
Br  0.337  0.663  0.816
Br  0.500  0.500  0.106
Br  0.500  0.500  0.606
Br  0.663  0.337  0.316
Br  0.698  0.302  0.714
Br  0.723  0.277  0.958
Br  0.911  0.089  0.373

Output
Formation energy from raw total energies   -1.597 eV per atom

---

10.
Compound: CeThGaRe
Source: the Alexandria database
Functional: PBE
Structure: relaxed

Unit cell a=5.079 b=5.079 c=5.079 alpha=60.00 beta=60.00 gamma=60.00
Atoms (fractional coordinates):
Ce  0.000  0.000  0.000
Th  0.500  0.500  0.500
Ga  0.750  0.750  0.750
Re  0.250  0.250  0.250

Output
DFT formation energy   -0.0793 eV/atom

---

11.
Compound: ScCr3Os
Source: the Alexandria database
Functional: PBE
Structure: relaxed

Unit cell a=4.638 b=4.638 c=4.638 alpha=90.00 beta=90.00 gamma=90.00
Atoms (fractional coordinates):
Sc  0.000  0.000  0.000
Cr  0.000  0.500  0.500
Cr  0.500  0.000  0.500
Cr  0.500  0.500  0.000
Os  0.500  0.500  0.500

Output
DFT formation energy   1.0039 eV/atom
ΔE to the lowest computed polymorph   0 meV/atom

---

12.
Compound: Na2Al3Au4
Source: the Alexandria database
Functional: PBE
Structure: relaxed

Unit cell a=8.336 b=8.336 c=7.462 alpha=90.00 beta=90.00 gamma=137.99
Atoms (fractional coordinates):
Na  0.098  0.902  0.902
Na  0.402  0.598  0.402
Na  0.598  0.402  0.598
Na  0.902  0.098  0.098
Al  0.000  0.000  0.500
Al  0.014  0.486  0.750
Al  0.486  0.014  0.250
Al  0.500  0.500  0.000
Al  0.514  0.986  0.750
Al  0.986  0.514  0.250
Au  0.179  0.821  0.525
Au  0.184  0.316  0.750
Au  0.316  0.184  0.250
Au  0.321  0.679  0.025
Au  0.679  0.321  0.975
Au  0.684  0.816  0.750
Au  0.816  0.684  0.250
Au  0.821  0.179  0.475

Output
DFT formation energy   -0.3955 eV/atom

---

13.
Compound: InB2SbOs
Source: the Alexandria database
Functional: PBE
Structure: relaxed

Unit cell a=4.280 b=4.280 c=5.838 alpha=90.00 beta=90.00 gamma=90.00
Atoms (fractional coordinates):
In  0.000  0.000  0.000
B  0.000  0.500  0.500
B  0.500  0.000  0.500
Sb  0.000  0.000  0.500
Os  0.500  0.500  0.000

Output
Formation energy from raw total energies   2.439 eV per atom